# 1
The following is a PBE-GGA calculation of HgRh2S4 after structural relaxation, from the Alexandria database.

```
HgRh2S4
1.0
-3.182 3.182 6.513
3.182 -3.182 6.513
3.182 3.182 -6.513
Hg Rh S
2 4 8
direct
0.375 0.125 0.250
0.625 0.875 0.750
0.000 0.000 0.500
0.000 0.500 0.000
0.000 0.500 0.500
0.500 0.500 0.000
0.004 0.295 0.114
0.205 0.819 0.709
0.319 0.109 0.614
0.391 0.504 0.209
0.609 0.496 0.791
0.681 0.891 0.386
0.795 0.181 0.291
0.996 0.705 0.886
```

Computed properties:
Uncorrected formation energy ... -0.3 eV per formula unit
Calculated volume ... 132 Å³/f.u.
Magnetic moment ... 0.00 μB per formula unit
Density ... 6.7 g/cm³

---

# 2
The following is a PBE-GGA calculation of HgRh2S after structural relaxation, from the Alexandria database.

```
HgRh2S
1.0
3.143 0.000 0.000
-1.571 2.722 0.000
0.000 0.000 22.853
Hg Rh S
3 6 3
direct
0.000 0.000 0.000
0.333 0.667 0.667
0.667 0.333 0.333
0.000 0.000 0.233
0.000 0.000 0.432
0.333 0.667 0.099
0.333 0.667 0.900
0.667 0.333 0.566
0.667 0.333 0.766
0.000 0.000 0.832
0.333 0.667 0.499
0.667 0.333 0.165
```

Computed properties:
Uncorrected formation energy ... 0.0 eV per formula unit
Calculated volume ... 65 Å³/f.u.
Magnetic moment ... 0.00 μB per formula unit
Density ... 11.2 g/cm³